Entry 1:
A relaxed structure of HoIrPd. Source: the Alexandria database, functional PBE.

As for the calculated total energy: -6.5638 eV/atom. As for the density of states at the Fermi level: 1.079 states/eV per atom. As for the space group: I4/mmm. As for the formation energy: -0.353 eV per atom.

Unit cell a=3.542 b=3.542 c=19.549 alpha=90.00 beta=90.00 gamma=90.00
Sites, in units of the cell vectors:
Ho 0.000 0.000 0.131
Ho 0.000 0.000 0.869
Ho 0.500 0.500 0.369
Ho 0.500 0.500 0.631
Ir 0.000 0.000 0.276
Ir 0.000 0.000 0.724
Ir 0.500 0.500 0.224
Ir 0.500 0.500 0.776
Pd 0.000 0.000 0.434
Pd 0.000 0.000 0.566
Pd 0.500 0.500 0.066
Pd 0.500 0.500 0.934


Entry 2:
A relaxed structure of Ho4Ir2Pd. Source: the Alexandria database, functional PBE.

As for the calculated total energy: -6.7029 eV/atom. As for the density of states at the Fermi level: 0.243 states/eV per atom. As for the space group: I-42d. As for the formation energy: -0.813 eV per atom. The energy relative to the lowest polymorph listed for this composition comes out at 57.6 meV per atom.

Unit cell a=7.450 b=7.450 c=7.450 alpha=109.46 beta=109.46 gamma=109.49
Sites, in units of the cell vectors:
Ho 0.001 0.383 0.251
Ho 0.132 0.750 0.749
Ho 0.133 0.251 0.751
Ho 0.250 0.999 0.382
Ho 0.500 0.382 0.249
Ho 0.617 0.868 0.618
Ho 0.618 0.867 0.118
Ho 0.749 0.500 0.882
Ir 0.245 0.625 0.120
Ir 0.375 0.495 0.620
Ir 0.505 0.125 0.880
Ir 0.875 0.755 0.380
Pd 0.000 0.000 0.000
Pd 0.750 0.250 0.500


Entry 3:
A relaxed structure of Ho8IrPd2. Source: the Alexandria database, functional PBE.

As for the calculated total energy: -5.6001 eV/atom. As for the density of states at the Fermi level: 1.118 states/eV per atom. As for the space group: C2/m. As for the formation energy: -0.521 eV per atom. The energy relative to the lowest polymorph listed for this composition comes out at 0.0 meV per atom.

Unit cell a=9.006 b=9.006 c=6.695 alpha=104.80 beta=104.80 gamma=32.56
Sites, in units of the cell vectors:
Ho 0.033 0.033 0.291
Ho 0.204 0.204 0.821
Ho 0.336 0.336 0.526
Ho 0.411 0.411 0.061
Ho 0.589 0.589 0.939
Ho 0.664 0.664 0.474
Ho 0.796 0.796 0.179
Ho 0.967 0.967 0.709
Ir 0.500 0.500 0.500
Pd 0.188 0.188 0.224
Pd 0.812 0.812 0.776


Entry 4:
A relaxed structure of Ho12IrPd6. Source: the Alexandria database, functional PBE.

As for the calculated total energy: -5.5840 eV/atom. As for the density of states at the Fermi level: 0.853 states/eV per atom. As for the space group: R-3. As for the formation energy: -0.587 eV per atom.

Unit cell a=8.196 b=8.196 c=8.196 alpha=99.18 beta=99.18 gamma=99.18
Sites, in units of the cell vectors:
Ho 0.042 0.918 0.679
Ho 0.082 0.321 0.958
Ho 0.180 0.574 0.416
Ho 0.321 0.958 0.082
Ho 0.416 0.180 0.574
Ho 0.426 0.584 0.820
Ho 0.574 0.416 0.180
Ho 0.584 0.820 0.426
Ho 0.679 0.042 0.918
Ho 0.820 0.426 0.584
Ho 0.918 0.679 0.042
Ho 0.958 0.082 0.321
Ir 0.000 0.000 0.000
Pd 0.133 0.315 0.621
Pd 0.315 0.621 0.133
Pd 0.379 0.867 0.685
Pd 0.621 0.133 0.315
Pd 0.685 0.379 0.867
Pd 0.867 0.685 0.379


Entry 5:
A relaxed structure of Ho5IrPd2. Source: the Alexandria database, functional PBE.

As for the calculated total energy: -5.9823 eV/atom. As for the density of states at the Fermi level: 0.825 states/eV per atom. As for the space group: I4/mcm. As for the formation energy: -0.715 eV per atom.

Unit cell a=8.995 b=8.995 c=8.995 alpha=133.13 beta=133.13 gamma=68.45
Sites, in units of the cell vectors:
Ho 0.000 0.000 0.000
Ho 0.022 0.522 0.845
Ho 0.176 0.022 0.500
Ho 0.324 0.824 0.845
Ho 0.478 0.324 0.500
Ho 0.500 0.500 0.000
Ho 0.522 0.676 0.500
Ho 0.676 0.176 0.155
Ho 0.824 0.978 0.500
Ho 0.978 0.478 0.155
Ir 0.250 0.250 0.000
Ir 0.750 0.750 0.000
Pd 0.133 0.367 0.500
Pd 0.367 0.867 0.234
Pd 0.633 0.133 0.766
Pd 0.867 0.633 0.500


Entry 6:
A relaxed structure of HoIrPd2. Source: the Alexandria database, functional PBE.

As for the calculated total energy: -6.5862 eV/atom. As for the density of states at the Fermi level: 0.873 states/eV per atom. As for the space group: P4/mmm. As for the formation energy: -0.630 eV per atom.

Unit cell a=4.113 b=4.113 c=4.043 alpha=90.00 beta=90.00 gamma=90.00
Sites, in units of the cell vectors:
Ho 0.000 0.000 0.000
Ir 0.500 0.500 0.000
Pd 0.000 0.500 0.500
Pd 0.500 0.000 0.500


Entry 7:
A relaxed structure of Ho5IrPd4. Source: the Alexandria database, functional PBE.

As for the calculated total energy: -6.1552 eV/atom. As for the density of states at the Fermi level: 0.634 states/eV per atom. As for the space group: P4/mmm. As for the formation energy: -0.903 eV per atom.

Unit cell a=3.445 b=3.445 c=17.733 alpha=90.00 beta=90.00 gamma=90.00
Sites, in units of the cell vectors:
Ho 0.000 0.000 0.000
Ho 0.000 0.000 0.202
Ho 0.000 0.000 0.406
Ho 0.000 0.000 0.594
Ho 0.000 0.000 0.798
Ir 0.500 0.500 0.500
Pd 0.500 0.500 0.101
Pd 0.500 0.500 0.301
Pd 0.500 0.500 0.699
Pd 0.500 0.500 0.899


Entry 8:
A relaxed structure of Ho4Ir2Pd. Source: the Alexandria database, functional PBE.

As for the calculated total energy: -6.7605 eV/atom. As for the density of states at the Fermi level: 0.332 states/eV per atom. As for the space group: R-3m. As for the formation energy: -0.871 eV per atom. The energy relative to the lowest polymorph listed for this composition comes out at 0.0 meV per atom.

Unit cell a=8.339 b=8.339 c=8.339 alpha=33.65 beta=33.65 gamma=33.65
Sites, in units of the cell vectors:
Ho 0.123 0.123 0.123
Ho 0.373 0.373 0.373
Ho 0.627 0.627 0.627
Ho 0.877 0.877 0.877
Ir 0.250 0.250 0.250
Ir 0.750 0.750 0.750
Pd 0.500 0.500 0.500


Entry 9:
A relaxed structure of Ho8IrPd2. Source: the Alexandria database, functional PBE.

As for the calculated total energy: -5.5021 eV/atom. As for the density of states at the Fermi level: 1.155 states/eV per atom. As for the space group: Cm. As for the formation energy: -0.423 eV per atom. The energy relative to the lowest polymorph listed for this composition comes out at 98.0 meV per atom.

Unit cell a=7.682 b=7.682 c=5.960 alpha=101.10 beta=101.10 gamma=115.07
Sites, in units of the cell vectors:
Ho 0.000 0.000 0.000
Ho 0.019 0.270 0.561
Ho 0.150 0.561 0.176
Ho 0.270 0.019 0.561
Ho 0.444 0.695 0.768
Ho 0.561 0.150 0.176
Ho 0.695 0.444 0.768
Ho 0.714 0.714 0.355
Ir 0.358 0.358 0.347
Pd 0.054 0.667 0.679
Pd 0.667 0.054 0.679


Entry 10:
A relaxed structure of Ho7Ir4Pd. Source: the Alexandria database, functional PBE.

As for the calculated total energy: -6.6978 eV/atom. As for the density of states at the Fermi level: 0.582 states/eV per atom. As for the space group: C2/m. As for the formation energy: -0.641 eV per atom.

Unit cell a=7.430 b=7.430 c=9.950 alpha=124.38 beta=124.38 gamma=40.09
Sites, in units of the cell vectors:
Ho 0.000 0.000 0.000
Ho 0.163 0.163 0.608
Ho 0.288 0.288 0.131
Ho 0.422 0.422 0.665
Ho 0.578 0.578 0.335
Ho 0.712 0.712 0.869
Ho 0.837 0.837 0.392
Ir 0.070 0.070 0.783
Ir 0.210 0.210 0.346
Ir 0.790 0.790 0.654
Ir 0.930 0.930 0.217
Pd 0.500 0.500 0.000


Entry 11:
A relaxed structure of Ho2IrPd. Source: the Alexandria database, functional PBE.

As for the calculated total energy: -6.7334 eV/atom. As for the density of states at the Fermi level: 0.740 states/eV per atom. As for the space group: Fm-3m. As for the formation energy: -0.931 eV per atom.

Unit cell a=6.894 b=6.894 c=6.894 alpha=90.00 beta=90.00 gamma=90.00
Sites, in units of the cell vectors:
Ho 0.250 0.250 0.250
Ho 0.250 0.250 0.750
Ho 0.250 0.750 0.250
Ho 0.250 0.750 0.750
Ho 0.750 0.250 0.250
Ho 0.750 0.250 0.750
Ho 0.750 0.750 0.250
Ho 0.750 0.750 0.750
Ir 0.000 0.000 0.000
Ir 0.000 0.500 0.500
Ir 0.500 0.000 0.500
Ir 0.500 0.500 0.000
Pd 0.000 0.000 0.500
Pd 0.000 0.500 0.000
Pd 0.500 0.000 0.000
Pd 0.500 0.500 0.500


Entry 12:
A relaxed structure of Ho3Ir2Pd. Source: the Alexandria database, functional PBE.

As for the calculated total energy: -6.9965 eV/atom. As for the density of states at the Fermi level: 0.469 states/eV per atom. As for the space group: Cmmm. As for the formation energy: -0.889 eV per atom.

Unit cell a=4.937 b=14.818 c=3.325 alpha=90.00 beta=90.00 gamma=90.00
Sites, in units of the cell vectors:
Ho 0.000 0.000 0.000
Ho 0.000 0.330 0.000
Ho 0.000 0.670 0.000
Ho 0.500 0.170 0.000
Ho 0.500 0.500 0.000
Ho 0.500 0.830 0.000
Ir 0.000 0.165 0.500
Ir 0.000 0.835 0.500
Ir 0.500 0.335 0.500
Ir 0.500 0.665 0.500
Pd 0.000 0.500 0.500
Pd 0.500 0.000 0.500


| no. | M_tot (μB/f.u.) |
| --- | --- |
| 1 | 0.2 |
| 2 | 0.0 |
| 3 | 0.0 |
| 4 | 0.0 |
| 5 | 0.0 |
| 6 | 0.0 |
| 7 | 0.0 |
| 8 | 0.0 |
| 9 | 0.0 |
| 10 | 0.0 |
| 11 | 0.0 |
| 12 | 0.0 |